! PBE+U MnNiO2, relaxed; values from VASP
! spin magnetization = 7.00 μB per cell
! volume = 10.4 Å³/atom
! space-group type = R-3m
! excess energy over the best structure of this formula in the dataset = 0.00 eV/f.u.
&SYSTEM
  ibrav = 0, nat = 4, ntyp = 3
/
ATOMIC_SPECIES
O 16.00 O.upf
Mn 54.94 Mn.upf
Ni 58.69 Ni.upf
CELL_PARAMETERS angstrom
-0.690 0.066 3.019
1.312 -2.521 -1.235
3.243 5.183 0.631
ATOMIC_POSITIONS angstrom
O 1.190 0.095 1.064
Mn 0.656 -1.261 -0.618
O 2.675 2.632 1.350
Ni 2.277 1.331 -0.302